Compound: Ga3Hg12Te5
Source: Alexandria via LeMat-Bulk
Functional: PBE-GGA
Structure: relaxed

a b c (Å): 14.7689 14.7689 14.7689
angles (deg): 109.47 109.47 109.47
With the nearest neighbours (Å) after each atom.
Positions (direct):
Ga  0.7500  0.3750  0.1250  4 Hg 2.72
Ga  0.8750  0.7500  0.1250  4 Hg 2.72
Ga  0.3750  0.7500  0.6250  4 Hg 2.72
Ga  0.2500  0.1250  0.3750  4 Hg 2.72
Ga  0.8750  0.1250  0.2500  4 Hg 2.72
Ga  0.3750  0.6250  0.2500  4 Hg 2.72
Ga  0.6250  0.3750  0.7500  4 Hg 2.72
Ga  0.1250  0.8750  0.7500  4 Hg 2.72
Ga  0.7500  0.8750  0.6250  4 Hg 2.72
Ga  0.6250  0.2500  0.3750  4 Hg 2.72
Ga  0.1250  0.2500  0.8750  4 Hg 2.72
Ga  0.2500  0.6250  0.8750  4 Hg 2.72
Te  0.1250  0.3750  0.2500  4 Hg 2.90
Te  0.0000  0.5000  0.0000  6 Hg 3.09
Te  0.0000  0.0000  0.0000  6 Hg 3.09
Te  0.3750  0.2500  0.1250  4 Hg 2.90
Te  0.5000  0.0000  0.5000  6 Hg 3.09
Te  0.5000  0.5000  0.0000  6 Hg 3.09
Te  0.1250  0.7500  0.3750  4 Hg 2.90
Te  0.7500  0.1250  0.8750  4 Hg 2.90
Te  0.7500  0.6250  0.3750  4 Hg 2.90
Te  0.3750  0.1250  0.7500  4 Hg 2.90
Te  0.6250  0.8750  0.2500  4 Hg 2.90
Te  0.5000  0.5000  0.5000  6 Hg 3.09
Te  0.5000  0.0000  0.0000  6 Hg 3.09
Te  0.0000  0.0000  0.5000  6 Hg 3.09
Te  0.2500  0.3750  0.6250  4 Hg 2.90
Te  0.2500  0.8750  0.1250  4 Hg 2.90
Te  0.0000  0.5000  0.5000  6 Hg 3.09
Te  0.8750  0.2500  0.6250  4 Hg 2.90
Te  0.6250  0.7500  0.8750  4 Hg 2.90
Te  0.8750  0.6250  0.7500  4 Hg 2.90
Hg  0.7475  0.1305  0.0725  1 Ga 2.72, 1 Te 2.90
Hg  0.3250  0.5725  0.4420  1 Ga 2.72, 1 Te 2.90
Hg  0.9275  0.3695  0.2525  1 Ga 2.72, 1 Te 2.90
Hg  0.5725  0.2475  0.1305  1 Ga 2.72, 1 Te 2.90
Hg  0.6169  0.7475  0.6750  1 Ga 2.72, 1 Te 2.90
Hg  0.9275  0.5580  0.1750  1 Ga 2.72, 1 Te 2.90
Hg  0.3250  0.7525  0.3831  1 Ga 2.72, 1 Te 2.90
Hg  0.0580  0.8831  0.1305  1 Ga 2.72, 1 Te 2.90
Hg  0.5580  0.9275  0.6750  1 Ga 2.72, 1 Te 2.90
Hg  0.7475  0.6169  0.1750  1 Ga 2.72, 1 Te 2.90
Hg  0.7525  0.4275  0.3695  1 Ga 2.72, 1 Te 2.90
Hg  0.8250  0.9420  0.0725  1 Ga 2.72, 1 Te 2.90
Hg  0.1305  0.7475  0.5725  1 Ga 2.72, 1 Te 2.90
Hg  0.3695  0.4420  0.1169  1 Ga 2.72, 1 Te 2.90
Hg  0.1169  0.9420  0.3695  1 Ga 2.72, 1 Te 2.90
Hg  0.3831  0.1305  0.5580  1 Ga 2.72, 1 Te 2.90
Hg  0.1169  0.1750  0.2475  1 Ga 2.72, 1 Te 2.90
Hg  0.4275  0.6750  0.0580  1 Ga 2.72, 1 Te 2.90
Hg  0.8250  0.8831  0.2525  1 Ga 2.72, 1 Te 2.90
Hg  0.1305  0.3831  0.0580  1 Ga 2.72, 1 Te 2.90
Hg  0.3695  0.9275  0.7525  1 Ga 2.72, 1 Te 2.90
Hg  0.5580  0.6305  0.3831  1 Ga 2.72, 1 Te 2.90
Hg  0.9420  0.8250  0.5725  1 Ga 2.72, 1 Te 2.90
Hg  0.7525  0.3250  0.8831  1 Ga 2.72, 1 Te 2.90
Hg  0.4420  0.3695  0.6169  1 Ga 2.72, 1 Te 2.90
Hg  0.0580  0.1750  0.4275  1 Ga 2.72, 1 Te 2.90
Hg  0.2475  0.6750  0.1169  1 Ga 2.72, 1 Te 2.90
Hg  0.1750  0.1169  0.7475  1 Ga 2.72, 1 Te 2.90
Hg  0.6305  0.0725  0.2475  1 Ga 2.72, 1 Te 2.90
Hg  0.8695  0.6169  0.9420  1 Ga 2.72, 1 Te 2.90
Hg  0.5725  0.3250  0.9420  1 Ga 2.72, 1 Te 2.90
Hg  0.6169  0.8695  0.4420  1 Ga 2.72, 1 Te 2.90
Hg  0.8831  0.8250  0.7525  1 Ga 2.72, 1 Te 2.90
Hg  0.8831  0.0580  0.6305  1 Ga 2.72, 1 Te 2.90
Hg  0.8695  0.2525  0.4275  1 Ga 2.72, 1 Te 2.90
Hg  0.1750  0.0580  0.9275  1 Ga 2.72, 1 Te 2.90
Hg  0.6305  0.5580  0.8831  1 Ga 2.72, 1 Te 2.90
Hg  0.4420  0.0725  0.3250  1 Ga 2.72, 1 Te 2.90
Hg  0.2525  0.3831  0.8250  1 Ga 2.72, 1 Te 2.90
Hg  0.2475  0.5725  0.6305  1 Ga 2.72, 1 Te 2.90
Hg  0.9420  0.1169  0.8695  1 Ga 2.72, 1 Te 2.90
Hg  0.6750  0.2475  0.6169  1 Ga 2.72, 1 Te 2.90
Hg  0.4275  0.7525  0.8695  1 Ga 2.72, 1 Te 2.90
Hg  0.0725  0.4420  0.8250  1 Ga 2.72, 1 Te 2.90
Hg  0.3831  0.2525  0.3250  1 Ga 2.72, 1 Te 2.90
Hg  0.0725  0.6305  0.7475  1 Ga 2.72, 1 Te 2.90
Hg  0.6750  0.4275  0.5580  1 Ga 2.72, 1 Te 2.90
Hg  0.2525  0.8695  0.9275  1 Ga 2.72, 1 Te 2.90

Results
The density of states at the Fermi level comes out at 0.23 states/eV/atom. The calculation puts the density at 8716 kg/m³. As for the space-group type: Ia-3d (230). The calculation puts the raw total energy at -111.52 eV/cell. The raw formation energy is 0.61 kcal/mol of atoms.

---

Compound: CaP2H6O9
Source: Alexandria via LeMat-Bulk
Functional: PBE-GGA
Structure: relaxed

a b c (Å): 6.5583 11.9508 5.6388
angles (deg): 84.21 62.27 81.93
With the nearest neighbours (Å) after each atom.
Positions (direct):
Ca  0.2248  0.1054  0.7380  5 O 2.33-2.57
Ca  0.7752  0.8946  0.2620  5 O 2.33-2.57
H  0.4607  0.1957  0.1051  1 O 1.03
H  0.5393  0.8043  0.8949  1 O 1.03
H  0.9327  0.2085  0.3846  1 O 1.02
H  0.0673  0.7915  0.6154  1 O 1.02
H  0.3033  0.4804  0.0363  1 O 1.01
H  0.6967  0.5196  0.9637  1 O 1.01
H  0.2947  0.4944  0.6599  1 O 1.01
H  0.7053  0.5056  0.3401  1 O 1.01
H  0.8656  0.3104  0.1006  1 O 1.00
H  0.1344  0.6896  0.8994  1 O 1.00
H  0.1148  0.3106  0.0690  1 O 0.99
H  0.8852  0.6894  0.9310  1 O 0.99
O  0.6629  0.0320  0.5761  1 P 1.52
O  0.3371  0.9680  0.4239  1 P 1.52
O  0.8289  0.0334  0.9188  1 P 1.52
O  0.1711  0.9666  0.0812  1 P 1.52
O  0.4864  0.1694  0.9243  1 H 1.03
O  0.5136  0.8306  0.0757  1 H 1.03
O  0.9131  0.1817  0.5709  1 H 1.02
O  0.0869  0.8183  0.4291  1 H 1.02
O  0.3956  0.2469  0.3793  1 P 1.52, 1 H 1.57
O  0.6044  0.7531  0.6207  1 P 1.52, 1 H 1.57
O  0.2667  0.4077  0.1493  1 H 1.01
O  0.7333  0.5923  0.8507  1 H 1.01
O  0.2332  0.4322  0.6105  1 H 1.01
O  0.7668  0.5678  0.3895  1 H 1.01
O  0.6311  0.4190  0.1979  1 P 1.54, 2 H 1.62-1.63
O  0.3689  0.5810  0.8021  1 P 1.54, 2 H 1.62-1.63
O  0.0042  0.2582  0.0837  2 H 0.99-1.00
O  0.9958  0.7418  0.9163  2 H 0.99-1.00
P  0.7250  0.0968  0.7467  4 O 1.52-1.60
P  0.2750  0.9032  0.2533  4 O 1.52-1.60
P  0.3910  0.3746  0.3352  4 O 1.52-1.59
P  0.6090  0.6254  0.6648  4 O 1.52-1.59

Results
The density of states at the Fermi level comes out at 0.00 states/eV/atom. The calculation puts the density at 2163 kg/m³. As for the space-group type: P-1 (2). The calculation puts the raw total energy at -220.38 eV/cell.

---

Compound: Li2MgIn2Hg2
Source: Alexandria via LeMat-Bulk
Functional: PBE-GGA
Structure: relaxed

a b c (Å): 4.9314 4.9314 7.8620
angles (deg): 71.72 71.72 60.00
With the nearest neighbours (Å) after each atom.
Positions (direct):
Li  0.1369  0.1369  0.5893  3 Hg 2.98, 1 Mg 3.01, 4 In 3.04-3.33, 3 Li 3.13
Li  0.8631  0.8631  0.4107  3 Hg 2.98, 1 Mg 3.01, 4 In 3.04-3.33, 3 Li 3.13
Mg  0.0000  0.0000  0.0000  2 Li 3.01, 6 In 3.12
In  0.7248  0.7248  0.8255  3 Hg 2.97, 1 Li 3.04, 3 Mg 3.12
In  0.2752  0.2752  0.1745  3 Hg 2.97, 1 Li 3.04, 3 Mg 3.12
Hg  0.5693  0.5693  0.2921  3 In 2.97, 3 Li 2.98, 1 Hg 3.05
Hg  0.4307  0.4307  0.7079  3 In 2.97, 3 Li 2.98, 1 Hg 3.05

Results
The density of states at the Fermi level comes out at 0.27 states/eV/atom. The calculation puts the density at 7198 kg/m³. As for the space-group type: R-3m (166). The calculation puts the raw total energy at -12.63 eV/cell.

---

Compound: Pr2YHg
Source: Alexandria via LeMat-Bulk
Functional: PBE-GGA
Structure: relaxed

a b c (Å): 3.7365 3.7365 11.0796
angles (deg): 80.29 80.29 60.00
With the nearest neighbours (Å) after each atom.
Positions (direct):
Pr  0.0773  0.0773  0.7680  3 Hg 3.32, 3 Y 3.62
Pr  0.2561  0.2561  0.2317  3 Hg 3.32, 3 Y 3.63
Y  0.4998  0.4998  0.5007  6 Pr 3.62-3.63, 6 Y 3.74
Hg  0.6668  0.6668  0.9997  6 Pr 3.32

Results
The density of states at the Fermi level comes out at 1.34 states/eV/atom. For the distance to the lowest polymorph of the same formula, the calculation gives 0.106 eV per atom. The calculation puts the density at 7220 kg/m³. As for the space-group type: R3m (160). The calculation puts the raw total energy at -16.86 eV/cell.

---

Compound: SrLa2YAs4
Source: Alexandria via LeMat-Bulk
Functional: PBE-GGA
Structure: relaxed

a b c (Å): 4.3431 7.4451 7.5666
angles (deg): 70.44 90.00 90.00
With the nearest neighbours (Å) after each atom.
Positions (direct):
Sr  0.5000  0.5000  0.0000  6 As 3.10-3.11
La  0.0000  0.0000  0.0000  6 As 3.12-3.13
La  0.5000  0.0000  0.5000  6 As 3.02-3.03
Y  0.0000  0.5000  0.5000  6 As 3.00-3.01
As  0.0000  0.7522  0.7379  1 Y 3.00, 3 La 3.02-3.13, 2 Sr 3.11
As  0.0000  0.2478  0.2621  1 Y 3.00, 3 La 3.02-3.13, 2 Sr 3.11
As  0.5000  0.7441  0.2615  2 Y 3.01, 3 La 3.03-3.12, 1 Sr 3.10
As  0.5000  0.2559  0.7385  2 Y 3.01, 3 La 3.03-3.12, 1 Sr 3.10

Results
The density of states at the Fermi level comes out at 0.74 states/eV/atom. The calculation puts the density at 5431 kg/m³. As for the space-group type: P2/m (10). The calculation puts the raw total energy at -47.51 eV/cell.

---

Compound: TlZn4Sb3
Source: Alexandria via LeMat-Bulk
Functional: PBE-GGA
Structure: relaxed

a b c (Å): 4.4770 4.4770 12.4363
angles (deg): 79.63 79.63 60.00
With the nearest neighbours (Å) after each atom.
Positions (direct):
Sb  0.2288  0.2288  0.3136  4 Zn 2.69-2.70
Sb  0.7712  0.7712  0.6864  4 Zn 2.69-2.70
Sb  0.0000  0.0000  0.0000  8 Zn 2.82-3.03
Tl  0.5000  0.5000  0.5000  6 Sb 3.44
Zn  0.0831  0.0831  0.7508  3 Sb 2.70
Zn  0.9169  0.9169  0.2492  3 Sb 2.70
Zn  0.3024  0.3024  0.0927  4 Sb 2.69-2.82
Zn  0.6976  0.6976  0.9073  4 Sb 2.69-2.82

Results
The density of states at the Fermi level comes out at 0.34 states/eV/atom. The calculation puts the density at 6537 kg/m³. As for the space-group type: R-3m (166). The calculation puts the raw total energy at -19.81 eV/cell. The raw formation energy is 0.05 kcal/mol of atoms.